Record 1
This record from the Alexandria database describes crystalline CsAg2ClF2 at its relaxed geometry. The functional is PBE-GGA.

Properties
Crystal system   monoclinic
Volume   26.63 A^3/atom
Final energy   -3.347 eV/atom

Lattice parameters (Å, degrees): 6.1128 5.8424 9.4079 90.00 108.00 90.00
Positions (direct):
Cs  0.2450  0.2500  0.3957
Cs  0.7550  0.7500  0.6043
Ag  0.3973  0.0018  0.8393
Ag  0.3973  0.4982  0.8393
Ag  0.6027  0.5018  0.1607
Ag  0.6027  0.9982  0.1607
Cl  0.2089  0.2500  0.9928
Cl  0.7911  0.7500  0.0072
F  0.2617  0.7500  0.6413
F  0.4467  0.7500  0.3057
F  0.5533  0.2500  0.6943
F  0.7383  0.2500  0.3587

Record 2
This record from the Alexandria database describes crystalline CsAg2ClF at its relaxed geometry. The functional is PBE-GGA.

Properties
Crystal system   tetragonal
Volume   30.46 A^3/atom
Final energy   -2.860 eV/atom

Lattice parameters (Å, degrees): 4.7158 4.7158 6.8482 90.00 90.00 90.00
Positions (direct):
Cs  0.0000  0.0000  0.0000
Ag  0.0000  0.5000  0.5000
Ag  0.5000  0.0000  0.5000
Cl  0.5000  0.5000  0.0000
F  0.0000  0.0000  0.5000

Record 3
This record from the Alexandria database describes crystalline Cs3Ag2Cl2F4 at its relaxed geometry. The functional is PBE-GGA.

Properties
Crystal system   tetragonal
Volume   25.68 A^3/atom
Final energy   -3.503 eV/atom

Lattice parameters (Å, degrees): 13.3571 13.3571 13.3571 159.86 159.86 28.64
Positions (direct):
Cs  0.0000  0.0000  0.0000
Cs  0.1688  0.1688  0.0000
Cs  0.8312  0.8312  0.0000
Ag  0.4102  0.4102  0.0000
Ag  0.5898  0.5898  0.0000
Cl  0.3084  0.3084  0.0000
Cl  0.6916  0.6916  0.0000
F  0.0782  0.5782  0.5000
F  0.4218  0.9218  0.5000
F  0.5782  0.0782  0.5000
F  0.9218  0.4218  0.5000

Record 4
This record from the Alexandria database describes crystalline CsFeAgCl6 at its relaxed geometry. The functional is PBE-GGA.

Properties
Crystal system   triclinic
Volume   33.08 A^3/atom
Final energy   -3.478 eV/atom

Lattice parameters (Å, degrees): 6.5764 6.5862 7.5829 92.38 92.62 114.56
Positions (direct):
Cs  0.0000  0.0000  0.0000
Fe  0.3495  0.6532  0.5003
Ag  0.6969  0.3051  0.4996
Cl  0.0583  0.3583  0.6574
Cl  0.0782  0.6285  0.2916
Cl  0.3734  0.9221  0.7095
Cl  0.4113  0.3677  0.3106
Cl  0.6340  0.5890  0.6894
Cl  0.6425  0.9434  0.3431